Th8Ge3Te4Au: optimized geometry, PBE.

Unit cell a=8.7698 b=8.7698 c=21.7761 alpha=90.00 beta=90.00 gamma=120.00
Closest atoms and distances in Å follow each position.
Space group R-3m (No. 166, hexagonal axes)
Inequivalent atoms, fractional coordinates:
Th 0.0000 0.0000 0.2394 (multiplicity 6)  3 Ge 2.99, 3 Te 3.25
Th 0.0018 0.5009 0.7597 (multiplicity 18)  2 Ge 2.99, 1 Au 3.01, 3 Te 3.23-3.25
Ge 0.0000 0.5000 0.5000 (multiplicity 9)  6 Th 2.99
Te 0.0000 0.0000 0.0000 (multiplicity 3)  6 Th 3.23
Te 0.0000 0.5000 0.0000 (multiplicity 9)  6 Th 3.25
Au 0.0000 0.0000 0.5000 (multiplicity 3)  6 Th 3.01

Computed properties:
E: -6.52 eV/atom
Formation energy from raw total energies: -15.3 eV per formula unit
Crystal system: trigonal